12
Lattice="7.469 0.001 0.004 -3.732 6.470 0.004 -1.243 -2.152 7.135" Properties=species:S:1:pos:R:3 comment="Ba3NaPr2S6 | Alexandria | GGA-PBE | optimized geometry" formation_energy_uncorrected_mev_per_atom=-1937.3 spacegroup="C2/m (12)" pbc="T T T"
S 0.039 0.068 5.560
S -1.283 2.230 1.612
S 2.573 0.003 1.612
S -0.079 4.316 5.531
S 2.455 4.251 1.584
S 3.777 2.089 5.531
Na 0.000 0.000 0.000
Ba 1.247 2.159 3.572
Ba -2.531 4.341 3.572
Ba 5.025 -0.022 3.572
Pr -0.007 4.318 0.004
Pr 3.744 2.152 0.004

=====

10
Lattice="3.885 0.000 0.000 0.000 3.885 0.000 0.000 0.000 19.714" Properties=species:S:1:pos:R:3 comment="La4ZrTl5 | Alexandria | GGA-PBE | optimized geometry" spacegroup="P4/mmm (123)" delta_e_f_ev_per_fu=-3.18 pbc="T T T"
Tl 1.942 1.942 1.593
Tl 1.942 1.942 18.121
Tl 1.942 1.942 9.857
Tl 1.942 1.942 14.004
Tl 1.942 1.942 5.709
La 0.000 0.000 7.773
La 0.000 0.000 3.618
La 0.000 0.000 16.096
La 0.000 0.000 11.941
Zr 0.000 0.000 0.000

=====

8
Lattice="4.155 0.000 0.000 0.000 4.155 0.000 2.078 2.078 10.793" Properties=species:S:1:pos:R:3 comment="Li2ZrPb | Alexandria | GGA-PBE | optimized geometry" spacegroup="I-42d (122)" delta_e_f_ev_per_fu=0.38 pbc="T T T"
Zr 2.078 4.155 5.396
Zr 2.078 2.078 0.000
Li 3.168 1.039 2.698
Li 3.116 3.065 8.095
Li 5.194 5.245 8.095
Li 0.988 3.116 2.698
Pb 4.155 2.078 5.396
Pb 0.000 0.000 0.000

=====

3
Lattice="3.262 0.000 0.000 0.000 3.262 0.000 -1.631 -1.631 6.429" Properties=species:S:1:pos:R:3 comment="NdEuN | Alexandria | GGA-PBE | optimized geometry" formation_energy_uncorrected_mev_per_atom=-355.6 spacegroup="I4mm (107)" pbc="T T T"
N 0.000 0.000 4.068
Eu 1.631 1.631 5.846
Nd 1.631 1.631 2.944

=====

3
Lattice="-0.089 -0.414 3.289 1.803 -2.767 -0.300 3.912 4.642 -0.981" Properties=species:S:1:pos:R:3 comment="ThAlPd | Alexandria | GGA-PBE | optimized geometry" spacegroup="I4mm (107)" delta_e_f_ev_per_fu=-1.81 pbc="T T T"
Al 2.878 1.842 0.310
Th 0.032 0.021 0.003
Pd 2.715 -0.402 1.695

=====

8
Lattice="-0.710 3.846 2.745 -2.622 -2.630 3.007 6.542 -1.763 4.163" Properties=species:S:1:pos:R:3 comment="NpSnAuS | Alexandria | GGA-PBE | optimized geometry" formation_energy_uncorrected_mev_per_atom=-609.8 spacegroup="P4/nmm (129)" pbc="T T T"
Np 0.901 -1.911 2.911
Np 3.974 0.756 4.128
S 1.605 -0.273 4.957
S 3.271 -0.882 2.082
Sn 4.050 -2.760 4.915
Sn 0.825 1.605 2.123
Au 0.000 0.000 0.000
Au -1.666 0.608 2.876

=====

| no. | DFT total energy (eV per atom) | total magnetization (μB per atom) |
| --- | --- | --- |
| 1 | -5.388 | 0.00 |
| 2 | -4.326 | 0.06 |
| 3 | -3.925 | 0.10 |
| 4 | -8.145 | 2.41 |
| 5 | -6.055 | 0.00 |
| 6 | -6.697 | 1.01 |